Entry from the Alexandria database: a relaxed structure of TlZnHg2I (PBE).

As for the formation energy without anion corrections: -0.081 eV per atom. The calculation puts the uncorrected energy at -1.240 eV per atom. As for the density of states at the Fermi level: 2.34 states/eV per cell. As for the offset from the most stable computed form: 38 meV per atom.

It has space group P4/mmm (No. 123), with a = 5.2262 Å, b = 5.2262 Å, c = 6.3602 Å, α = 90.00°, β = 90.00° and γ = 90.00°. Symmetry generates all atoms from Tl at (0.0000, 0.0000, 0.0000), Zn at (0.5000, 0.5000, 0.5000), Hg at (0.0000, 0.5000, 0.5000) and I at (0.5000, 0.5000, 0.0000).